[1]
VASP calculation (PBEsol) on a relaxed MnAsSe2 crystal.

Properties
- DOS(E_F): 2.38 states/eV/f.u.
- Space group: R3m, No. 160
- Formation energy without anion corrections: -0.0215 eV/atom
- M_tot: 0.565 μB/atom

Unit cell a=8.1946 b=8.1946 c=8.1946 alpha=22.98 beta=22.98 gamma=22.98
Last column: nearest neighbours and their distance in Å.
Element x y z (fractional)
Mn: 0.0000 0.0000 0.0000  3 Se 2.37, 3 As 2.53
As: 0.2626 0.2626 0.2626  3 Mn 2.53, 3 Se 2.64
Se: 0.5189 0.5189 0.5189  3 As 2.64
Se: 0.7267 0.7267 0.7267  3 Mn 2.37


[2]
VASP calculation (PBEsol) on a relaxed TaZnSe crystal.

Properties
- DOS(E_F): 1.74 states/eV/f.u.
- Space group: P-6m2, No. 187
- Formation energy without anion corrections: 0.0850 eV/atom
- M_tot: 0.000 μB/atom

Unit cell a=4.3255 b=4.3255 c=3.2415 alpha=90.00 beta=90.00 gamma=120.00
Last column: nearest neighbours and their distance in Å.
Element x y z (fractional)
Ta: 0.0000 0.0000 0.0000  3 Se 2.50
Zn: 0.6667 0.3333 0.5000  6 Ta 2.98, 6 Se 2.98, 2 Zn 3.24
Se: 0.3333 0.6667 0.0000  3 Ta 2.50


Question: Which of these has the highest formation energy without anion corrections?
Answer: TaZnSe


Question: Which formula does entry 1 have?
Answer: MnAsSe2